No. 1
VASP calculation (GGA-PBE) on an optimized crystal structure of V2CrPt9.

Output
Total moment, μB per formula unit: 5.0
Space-group type: No. 123
E_form, eV/atom: -0.41

a b c (Å): 3.9182 3.9182 11.7709
angles (deg): 90.00 90.00 90.00
Sites, in units of the cell vectors:
Pt: 0.5000 0.5000 0.0000
Pt: 0.0000 0.5000 0.5000
Pt: 0.5000 0.0000 0.8301
Pt: 0.5000 0.0000 0.1699
Pt: 0.0000 0.5000 0.1699
Pt: 0.0000 0.5000 0.8301
Pt: 0.5000 0.5000 0.6650
Pt: 0.5000 0.0000 0.5000
Pt: 0.5000 0.5000 0.3350
V: 0.0000 0.0000 0.3295
V: 0.0000 0.0000 0.6705
Cr: 0.0000 0.0000 0.0000

=====

No. 2
VASP calculation (GGA-PBE) on an optimized crystal structure of VCrPt2.

Output
Total moment, μB per formula unit: 0.9
Space-group type: No. 65
E_form, eV/atom: -0.38

a b c (Å): 2.7170 4.7201 4.7201
angles (deg): 110.24 90.00 90.00
Sites, in units of the cell vectors:
Pt: 0.0000 0.0000 0.5000
Pt: 0.0000 0.5000 0.0000
V: 0.5000 0.5000 0.5000
Cr: 0.5000 0.0000 0.0000